[1]
The following is a DFT calculation (PBE-GGA) of a geometry-optimized Rb5SnS4 structure.

Unit cell a=7.846 b=10.358 c=9.970 alpha=90.00 beta=90.00 gamma=90.00
Fractional coordinates of all 20 atoms:
1 Rb 0.740 0.195 0.242
2 Rb 0.740 0.195 0.758
3 Rb 0.166 0.000 0.500
4 Rb 0.740 0.805 0.242
5 Rb 0.740 0.805 0.758
6 Rb 0.260 0.695 0.258
7 Rb 0.260 0.695 0.742
8 Rb 0.834 0.500 0.000
9 Rb 0.260 0.305 0.742
10 Rb 0.260 0.305 0.258
11 Sn 0.213 0.000 0.000
12 Sn 0.787 0.500 0.500
13 S 0.031 0.212 0.000
14 S 0.394 0.000 0.219
15 S 0.394 0.000 0.781
16 S 0.031 0.788 0.000
17 S 0.969 0.712 0.500
18 S 0.606 0.500 0.281
19 S 0.606 0.500 0.719
20 S 0.969 0.288 0.500

Values from the calculation:
E_form (uncorrected): -0.921 eV/atom
crystal system: orthorhombic

[2]
The following is a DFT calculation (PBE-GGA) of a geometry-optimized KSbAuI2 structure.

Unit cell a=5.713 b=6.491 c=5.713 alpha=90.00 beta=90.00 gamma=90.00
Fractional coordinates of all 5 atoms:
1 I 0.000 0.000 0.500
2 I 0.500 0.000 0.000
3 Sb 0.500 0.500 0.500
4 K 0.000 0.500 0.000
5 Au 0.000 0.000 0.000

Values from the calculation:
E_form (uncorrected): 0.100 eV/atom
distance to the lowest polymorph of the same formula: 320 meV/atom
crystal system: tetragonal

[3]
The following is a DFT calculation (PBE-GGA) of a geometry-optimized RbHg2RhSe structure.

Unit cell a=5.366 b=5.366 c=4.999 alpha=90.00 beta=90.00 gamma=90.00
Fractional coordinates of all 5 atoms:
1 Se 0.000 0.000 0.500
2 Rh 0.000 0.000 0.000
3 Hg 0.000 0.500 0.000
4 Hg 0.500 0.000 0.000
5 Rb 0.500 0.500 0.500

Values from the calculation:
E_form (uncorrected): -0.280 eV/atom
crystal system: tetragonal

[4]
The following is a DFT calculation (PBE-GGA) of a geometry-optimized PuBi2Au structure.

Unit cell a=4.374 b=4.878 c=4.878 alpha=90.00 beta=90.00 gamma=90.00
Fractional coordinates of all 4 atoms:
1 Au 0.500 0.000 0.000
2 Bi 0.000 0.000 0.500
3 Bi 0.000 0.500 0.000
4 Pu 0.500 0.500 0.500

Values from the calculation:
distance to the lowest polymorph of the same formula: 24 meV/atom
ΔE_f: -6.78 kcal/mol of atoms
crystal system: tetragonal

[5]
The following is a DFT calculation (PBE-GGA) of a geometry-optimized LaPr4Nd4 structure.

Unit cell a=5.247 b=8.288 c=8.288 alpha=84.25 beta=71.54 gamma=71.54
Fractional coordinates of all 9 atoms:
1 La 0.000 0.000 0.000
2 Pr 0.667 0.333 0.333
3 Pr 0.333 0.667 0.667
4 Pr 0.000 0.667 0.333
5 Pr 0.000 0.333 0.667
6 Nd 0.667 0.666 0.000
7 Nd 0.333 0.334 0.000
8 Nd 0.667 0.000 0.666
9 Nd 0.333 0.000 0.334

Values from the calculation:
ΔE_f: 0.30 kcal/mol of atoms
crystal system: tetragonal

[6]
The following is a DFT calculation (PBE-GGA) of a geometry-optimized NiTe2S structure.

Unit cell a=9.127 b=9.127 c=9.127 alpha=22.06 beta=22.06 gamma=22.06
Fractional coordinates of all 4 atoms:
1 Ni 0.000 0.000 0.000
2 S 0.500 0.500 0.500
3 Te 0.909 0.909 0.909
4 Te 0.091 0.091 0.091

Values from the calculation:
E_form (uncorrected): 0.616 eV/atom
crystal system: trigonal

[7]
The following is a DFT calculation (PBE-GGA) of a geometry-optimized AcNdYTl structure.

Unit cell a=5.686 b=5.686 c=5.686 alpha=60.00 beta=60.00 gamma=60.00
Fractional coordinates of all 4 atoms:
1 Y 0.250 0.250 0.250
2 Ac 0.500 0.500 0.500
3 Nd 0.750 0.750 0.750
4 Tl 0.000 0.000 0.000

Values from the calculation:
ΔE_f: 0.18 kcal/mol of atoms
crystal system: cubic

[8]
The following is a DFT calculation (PBE-GGA) of a geometry-optimized Ca3TeOs structure.

Unit cell a=5.401 b=5.401 c=5.401 alpha=90.00 beta=90.00 gamma=90.00
Fractional coordinates of all 5 atoms:
1 Ca 0.000 0.500 0.000
2 Ca 0.000 0.000 0.500
3 Ca 0.500 0.000 0.000
4 Te 0.500 0.500 0.500
5 Os 0.000 0.000 0.000

Values from the calculation:
E_form (uncorrected): -0.110 eV/atom
distance to the lowest polymorph of the same formula: 0 meV/atom
crystal system: cubic

[9]
The following is a DFT calculation (PBE-GGA) of a geometry-optimized Pm2Ho4Ge3O2 structure.

Unit cell a=4.541 b=4.541 c=12.420 alpha=100.53 beta=100.53 gamma=90.00
Fractional coordinates of all 11 atoms:
1 Pm 0.302 0.302 0.604
2 Pm 0.698 0.698 0.396
3 Ho 0.420 0.920 0.841
4 Ho 0.920 0.420 0.841
5 Ho 0.080 0.580 0.159
6 Ho 0.580 0.080 0.159
7 Ge 0.000 0.000 0.000
8 Ge 0.173 0.173 0.345
9 Ge 0.827 0.827 0.655
10 O 0.408 0.408 0.816
11 O 0.592 0.592 0.184

Values from the calculation:
E_form (uncorrected): -1.588 eV/atom
crystal system: tetragonal

[10]
The following is a DFT calculation (PBE-GGA) of a geometry-optimized CsTcSb2 structure.

Unit cell a=3.350 b=3.350 c=9.449 alpha=90.00 beta=90.00 gamma=90.00
Fractional coordinates of all 4 atoms:
1 Cs 0.500 0.500 0.500
2 Sb 0.000 0.000 0.827
3 Sb 0.000 0.000 0.173
4 Tc 0.500 0.500 0.000

Values from the calculation:
E_form (uncorrected): -0.041 eV/atom
distance to the lowest polymorph of the same formula: 0 meV/atom
crystal system: tetragonal

[11]
The following is a DFT calculation (PBE-GGA) of a geometry-optimized PuScCl5 structure.

Unit cell a=6.772 b=6.772 c=9.519 alpha=105.52 beta=105.52 gamma=91.63
Fractional coordinates of all 14 atoms:
1 Pu 0.933 0.567 0.250
2 Pu 0.067 0.433 0.750
3 Sc 0.000 0.000 0.000
4 Sc 0.500 0.500 0.500
5 Cl 0.776 0.893 0.134
6 Cl 0.796 0.295 0.451
7 Cl 0.393 0.276 0.634
8 Cl 0.231 0.269 0.250
9 Cl 0.205 0.704 0.049
10 Cl 0.795 0.296 0.951
11 Cl 0.769 0.731 0.750
12 Cl 0.607 0.724 0.366
13 Cl 0.204 0.705 0.549
14 Cl 0.224 0.107 0.866

Values from the calculation:
E_form (uncorrected): -1.908 eV/atom
crystal system: monoclinic

[12]
The following is a DFT calculation (PBE-GGA) of a geometry-optimized CdIn3Cu structure.

Unit cell a=5.136 b=5.136 c=5.136 alpha=90.00 beta=90.00 gamma=90.00
Fractional coordinates of all 5 atoms:
1 Cd 0.500 0.500 0.500
2 Cu 0.000 0.000 0.000
3 In 0.000 0.500 0.000
4 In 0.000 0.000 0.500
5 In 0.500 0.000 0.000

Values from the calculation:
distance to the lowest polymorph of the same formula: 0 meV/atom
ΔE_f: 3.52 kcal/mol of atoms
crystal system: cubic

[13]
The following is a DFT calculation (PBE-GGA) of a geometry-optimized As3P structure.

Unit cell a=3.504 b=3.569 c=6.225 alpha=90.00 beta=90.00 gamma=90.00
Fractional coordinates of all 4 atoms:
1 As 0.000 0.000 0.000
2 As 0.500 0.000 0.348
3 As 0.500 0.500 0.820
4 P 0.000 0.500 0.498

Values from the calculation:
distance to the lowest polymorph of the same formula: 271 meV/atom
ΔE_f: 7.60 kcal/mol of atoms
crystal system: orthorhombic

[14]
The following is a DFT calculation (PBE-GGA) of a geometry-optimized Pr6Ru2PtI3 structure.

Unit cell a=7.306 b=7.306 c=8.574 alpha=98.16 beta=98.16 gamma=120.00
Fractional coordinates of all 12 atoms:
1 Pr 0.938 0.593 0.813
2 Pr 0.717 0.717 0.186
3 Pr 0.062 0.407 0.187
4 Pr 0.593 0.938 0.813
5 Pr 0.283 0.283 0.814
6 Pr 0.407 0.062 0.187
7 Ru 0.333 0.667 0.000
8 Ru 0.667 0.333 0.000
9 Pt 0.000 0.000 0.000
10 I 0.167 0.833 0.500
11 I 0.833 0.167 0.500
12 I 0.500 0.500 0.500

Values from the calculation:
E_form (uncorrected): -0.819 eV/atom
crystal system: monoclinic

[15]
The following is a DFT calculation (PBE-GGA) of a geometry-optimized KCrCu2Cl8 structure.

Unit cell a=6.009 b=6.646 c=8.915 alpha=63.28 beta=84.08 gamma=93.90
Fractional coordinates of all 12 atoms:
1 K 0.000 0.000 0.500
2 Cr 0.000 0.000 0.000
3 Cu 0.426 0.297 0.706
4 Cu 0.574 0.703 0.294
5 Cl 0.149 0.770 0.248
6 Cl 0.736 0.690 0.054
7 Cl 0.731 0.082 0.169
8 Cl 0.851 0.230 0.752
9 Cl 0.264 0.310 0.946
10 Cl 0.269 0.918 0.831
11 Cl 0.510 0.691 0.559
12 Cl 0.490 0.309 0.441

Values from the calculation:
E_form (uncorrected): -0.937 eV/atom
crystal system: triclinic

[16]
The following is a DFT calculation (PBE-GGA) of a geometry-optimized PrSmEuTh structure.

Unit cell a=5.842 b=5.842 c=5.842 alpha=60.00 beta=60.00 gamma=60.00
Fractional coordinates of all 4 atoms:
1 Eu 0.000 0.000 0.000
2 Pr 0.750 0.750 0.750
3 Sm 0.250 0.250 0.250
4 Th 0.500 0.500 0.500

Values from the calculation:
ΔE_f: 5.24 kcal/mol of atoms
crystal system: cubic

[17]
The following is a DFT calculation (PBE-GGA) of a geometry-optimized CsK2SrBi structure.

Unit cell a=7.099 b=7.099 c=6.591 alpha=90.00 beta=90.00 gamma=90.00
Fractional coordinates of all 5 atoms:
1 Cs 0.500 0.500 0.500
2 Sr 0.000 0.000 0.500
3 K 0.000 0.500 0.000
4 K 0.500 0.000 0.000
5 Bi 0.000 0.000 0.000

Values from the calculation:
ΔE_f: -5.49 kcal/mol of atoms
crystal system: tetragonal

[18]
The following is a DFT calculation (PBE-GGA) of a geometry-optimized Li3Zn structure.

Unit cell a=5.510 b=5.510 c=5.510 alpha=150.22 beta=126.44 gamma=62.48
Fractional coordinates of all 4 atoms:
1 Zn 0.666 0.000 0.666
2 Li 0.743 0.738 0.005
3 Li 0.267 0.262 0.005
4 Li 0.157 0.500 0.657

Values from the calculation:
ΔE_f: -1.94 kcal/mol of atoms
crystal system: orthorhombic

[19]
The following is a DFT calculation (PBE-GGA) of a geometry-optimized Sm6MgS8 structure.

Unit cell a=7.967 b=7.967 c=7.967 alpha=60.00 beta=60.00 gamma=60.00
Fractional coordinates of all 15 atoms:
1 Sm 0.000 0.500 0.500
2 Sm 0.500 0.000 0.000
3 Sm 0.500 0.500 0.000
4 Sm 0.000 0.000 0.500
5 Sm 0.000 0.500 0.000
6 Sm 0.500 0.000 0.500
7 Mg 0.000 0.000 0.000
8 S 0.750 0.750 0.750
9 S 0.250 0.250 0.250
10 S 0.762 0.238 0.238
11 S 0.238 0.762 0.762
12 S 0.238 0.238 0.762
13 S 0.762 0.762 0.238
14 S 0.762 0.238 0.762
15 S 0.238 0.762 0.238

Values from the calculation:
E_form (uncorrected): -1.974 eV/atom
crystal system: cubic

[20]
The following is a DFT calculation (PBE-GGA) of a geometry-optimized CoNi structure.

Unit cell a=2.500 b=8.032 c=8.032 alpha=120.00 beta=90.00 gamma=90.00
Fractional coordinates of all 12 atoms:
1 Co 0.750 0.430 0.570
2 Co 0.250 0.570 0.141
3 Co 0.750 0.141 0.570
4 Co 0.250 0.570 0.430
5 Co 0.750 0.430 0.859
6 Co 0.250 0.859 0.430
7 Ni 0.750 0.846 0.154
8 Ni 0.250 0.154 0.308
9 Ni 0.750 0.308 0.154
10 Ni 0.250 0.154 0.846
11 Ni 0.750 0.846 0.692
12 Ni 0.250 0.692 0.846

Values from the calculation:
ΔE_f: 4.86 kcal/mol of atoms
crystal system: hexagonal